Density functional theory data (PBE-GGA) for a relaxed BiCO2F crystal.

The value obtained for the uncorrected formation energy is 0.16 eV per atom. The density of states at the Fermi level comes out at 0.8 states/eV/f.u. The uncorrected energy comes out at -24.11 eV per cell. The value obtained for the magnetization is 0.00 μB per formula unit.

The space group is P4/mmm (No. 123) and the conventional cell measures 3.855, 3.855 and 3.701 Å, with angles of 90.00, 90.00 and 90.00 degrees. The distinct sites, in fractional coordinates, are Bi at (0.000, 0.000, 0.000), C at (0.500, 0.500, 0.500), O at (0.000, 0.500, 0.500) and F at (0.500, 0.500, 0.000).



Density functional theory data (PBE-GGA) for a relaxed BiCOF2 crystal.

The value obtained for the uncorrected formation energy is 0.15 eV per atom. The density of states at the Fermi level comes out at 3.7 states/eV/f.u. The uncorrected energy comes out at -21.05 eV per cell. As for the polymorph energy (0 for the lowest one): 185 meV/atom. The value obtained for the magnetization is 1.46 μB per formula unit.

The space group is P4/mmm (No. 123) and the conventional cell measures 4.497, 4.497 and 4.419 Å, with angles of 90.00, 90.00 and 90.00 degrees. The distinct sites, in fractional coordinates, are Bi at (0.000, 0.000, 0.000), C at (0.500, 0.500, 0.500), O at (0.000, 0.000, 0.500) and F at (0.000, 0.500, 0.000).



Density functional theory data (PBE-GGA) for a relaxed BiCO2F crystal.

The value obtained for the uncorrected formation energy is 0.67 eV per atom. The density of states at the Fermi level comes out at 4.3 states/eV/f.u. The uncorrected energy comes out at -21.52 eV per cell. The value obtained for the magnetization is 1.19 μB per formula unit.

The space group is P4/mmm (No. 123) and the conventional cell measures 4.272, 4.272 and 4.401 Å, with angles of 90.00, 90.00 and 90.00 degrees. The distinct sites, in fractional coordinates, are Bi at (0.000, 0.000, 0.000), C at (0.500, 0.500, 0.500), O at (0.000, 0.500, 0.000) and F at (0.000, 0.000, 0.500).



Density functional theory data (PBE-GGA) for a relaxed Rb2BiCF6 crystal.

The value obtained for the uncorrected formation energy is -1.66 eV per atom. The density of states at the Fermi level comes out at 0.0 states/eV/f.u. The uncorrected energy comes out at -85.72 eV per cell. The value obtained for the magnetization is 1.00 μB per formula unit.

The space group is I4/mmm (No. 139) and the conventional cell measures 6.037, 6.037 and 10.752 Å, with angles of 90.00, 90.00 and 90.00 degrees. The distinct sites, in fractional coordinates, are Rb at (0.000, 0.500, 0.250), Bi at (0.000, 0.000, 0.000), C at (0.000, 0.000, 0.500), F at (0.000, 0.000, 0.210) and F at (0.235, 0.235, 0.500).



Which value of magnetization does entry 3 give? 1.19 μB per formula unit



What is the uncorrected energy in the fourth record? -85.72 eV per cell



The lowest uncorrected formation energy belongs to which entry? Rb2BiCF6